<i>
Entry from the Alexandria database: crystalline LaTi2Ag at its relaxed geometry (PBE).

The structure in POSCAR format:
```
LaTi2Ag
1.0
0.000 3.412 3.412
3.412 0.000 3.412
3.412 3.412 0.000
La Ti Ag
1 2 1
Direct
0.000 0.000 0.000 La
0.250 0.250 0.250 Ti
0.750 0.750 0.750 Ti
0.500 0.500 0.500 Ag
```

Values from the calculation:
- V: 79.47 Å³/cell
- Density of states at the Fermi level: 6.5 states/eV/f.u.
- Space group: No. 225


<ii>
Entry from the Alexandria database: crystalline LaTi2Ag at its relaxed geometry (PBE).

The structure in POSCAR format:
```
LaTi2Ag
1.0
-2.088 2.088 10.397
2.088 -2.088 10.397
2.088 2.088 -10.397
La Ti Ag
2 4 2
Direct
0.000 0.000 0.000 La
0.750 0.250 0.500 La
0.138 0.625 0.013 Ti
0.375 0.388 0.513 Ti
0.612 0.125 0.987 Ti
0.875 0.862 0.487 Ti
0.250 0.750 0.500 Ag
0.500 0.500 0.000 Ag
```

Values from the calculation:
- V: 181.31 Å³/cell
- Density of states at the Fermi level: 4.4 states/eV/f.u.
- Space group: No. 122


Tell me which of them is the most stable. Sure, it is <i>.


<i>
Entry from the Alexandria database: crystalline La4TlAg at its relaxed geometry (PBE).

The structure in POSCAR format:
```
La4TlAg
1.0
4.527 -7.351 0.000
4.527 7.351 0.000
-2.188 0.000 5.713
La Tl Ag
8 2 2
Direct
0.086 0.698 0.935 La
0.216 0.392 0.647 La
0.302 0.914 0.565 La
0.392 0.216 0.147 La
0.608 0.784 0.853 La
0.698 0.086 0.435 La
0.784 0.608 0.353 La
0.914 0.302 0.065 La
0.386 0.614 0.250 Tl
0.614 0.386 0.750 Tl
0.004 0.996 0.250 Ag
0.996 0.004 0.750 Ag
```

Values from the calculation:
- V: 380.30 Å³/cell
- Density of states at the Fermi level: 7.0 states/eV/f.u.
- Space group: No. 15


<ii>
Entry from the Alexandria database: crystalline La4TlAg at its relaxed geometry (PBE).

The structure in POSCAR format:
```
La4TlAg
1.0
0.000 4.597 4.597
4.597 0.000 4.597
4.597 4.597 0.000
La Tl Ag
4 1 1
Direct
0.124 0.124 0.124 La
0.124 0.124 0.629 La
0.124 0.629 0.124 La
0.629 0.124 0.124 La
0.750 0.750 0.750 Tl
0.500 0.500 0.500 Ag
```

Values from the calculation:
- V: 194.23 Å³/cell
- Density of states at the Fermi level: 7.8 states/eV/f.u.
- Space group: No. 216


Tell me which of them is the most stable. Sure, it is <i>.


<i>
Entry from the Alexandria database: crystalline La8Tl2Ag at its relaxed geometry (PBE).

The structure in POSCAR format:
```
La8Tl2Ag
1.0
7.998 -3.440 0.000
7.998 3.440 0.000
-1.076 0.000 6.717
La Tl Ag
8 2 1
Direct
0.095 0.095 0.910 La
0.165 0.672 0.632 La
0.312 0.312 0.167 La
0.328 0.835 0.368 La
0.672 0.165 0.632 La
0.688 0.688 0.833 La
0.835 0.328 0.368 La
0.905 0.905 0.090 La
0.245 0.245 0.649 Tl
0.755 0.755 0.351 Tl
0.500 0.500 0.000 Ag
```

Values from the calculation:
- V: 369.61 Å³/cell
- Density of states at the Fermi level: 13.3 states/eV/f.u.
- Space group: No. 12


<ii>
Entry from the Alexandria database: crystalline La8Tl2Ag at its relaxed geometry (PBE).

The structure in POSCAR format:
```
La8Tl2Ag
1.0
9.885 -2.716 0.000
9.885 2.716 0.000
-1.942 0.000 6.824
La Tl Ag
8 2 1
Direct
0.011 0.011 0.272 La
0.208 0.208 0.796 La
0.343 0.343 0.520 La
0.410 0.410 0.038 La
0.590 0.590 0.962 La
0.657 0.657 0.480 La
0.792 0.792 0.204 La
0.989 0.989 0.728 La
0.178 0.178 0.232 Tl
0.822 0.822 0.768 Tl
0.500 0.500 0.500 Ag
```

Values from the calculation:
- V: 366.43 Å³/cell
- Density of states at the Fermi level: 12.7 states/eV/f.u.
- Space group: No. 12


Tell me which of them is the most stable. Sure, it is <ii>.


<i>
Entry from the Alexandria database: crystalline LaTlAg2 at its relaxed geometry (PBE).

The structure in POSCAR format:
```
LaTlAg2
1.0
3.460 0.000 0.000
0.000 3.762 0.000
0.000 0.000 7.529
La Tl Ag
1 1 2
Direct
0.000 0.000 0.000 La
0.500 0.500 0.312 Tl
0.000 0.000 0.537 Ag
0.500 0.500 0.728 Ag
```

Values from the calculation:
- V: 98.00 Å³/cell
- Density of states at the Fermi level: 3.1 states/eV/f.u.
- Space group: No. 25


<ii>
Entry from the Alexandria database: crystalline LaTlAg2 at its relaxed geometry (PBE).

The structure in POSCAR format:
```
LaTlAg2
1.0
3.537 0.000 0.000
0.000 5.030 0.000
-0.088 0.000 5.856
La Tl Ag
1 1 2
Direct
0.000 0.000 0.000 La
0.486 0.500 0.728 Tl
0.503 0.000 0.482 Ag
0.511 0.500 0.238 Ag
```

Values from the calculation:
- V: 104.19 Å³/cell
- Density of states at the Fermi level: 2.7 states/eV/f.u.
- Space group: No. 6


<iii>
Entry from the Alexandria database: crystalline LaTlAg2 at its relaxed geometry (PBE).

The structure in POSCAR format:
```
LaTlAg2
1.0
3.519 0.000 0.000
0.000 4.963 0.000
0.000 0.000 5.983
La Tl Ag
1 1 2
Direct
0.000 0.000 0.000 La
0.500 0.000 0.500 Tl
0.500 0.500 0.240 Ag
0.500 0.500 0.760 Ag
```

Values from the calculation:
- V: 104.48 Å³/cell
- Density of states at the Fermi level: 2.6 states/eV/f.u.
- Space group: No. 47


Tell me which of them is the most stable. Sure, it is <iii>.